A plane-wave DFT calculation with GGA+U was carried out for a relaxed structure of CrCl2F.

Computed properties:
Symmetry: I-42d (122)
Raw total energy, eV per atom: -4.69
Offset from the most stable computed form, kJ/mol of atoms: 22.7
Density of states at the Fermi level, states/eV per cell: 0.00

Cell: 6.627 6.627 6.627 Å, 94.98 94.98 145.73°
Atoms (fractional coordinates):
Cr 0.000 0.000 0.000
Cr 0.750 0.250 0.500
Cl 0.375 0.218 0.343
Cl 0.782 0.125 0.157
Cl 0.875 0.032 0.657
Cl 0.968 0.625 0.843
F 0.250 0.750 0.500
F 0.500 0.500 0.000